1.
ErSc2S3 (PBE, optimized geometry); formation energy from raw total energies = -7.197 eV/f.u.; calculated volume = 24.4 A^3/atom; polymorph energy (0 for the lowest one) = 0.6883 eV/atom; final energy = -6.13 eV/atom; symmetry = Cmcm, No. 63
1.0
-3.583 0.272 4.888
5.585 -0.442 4.118
0.869 6.894 0.253
Er Sc S
2 4 6
Cartesian
1.710 4.261 2.898 Er
1.161 2.463 6.361 Er
1.007 1.007 0.682 Sc
-0.784 1.143 3.126 Sc
5.447 5.445 3.689 Sc
3.655 5.581 6.133 Sc
-1.231 6.185 4.400 S
-0.910 3.021 4.812 S
1.696 1.618 3.035 S
1.175 5.106 6.224 S
3.781 3.702 4.448 S
4.102 0.538 4.859 S



2.
ErSc6S8 (PBE, optimized geometry); formation energy from raw total energies = -28.969 eV/f.u.; calculated volume = 19.1 A^3/atom; polymorph energy (0 for the lowest one) = 0.0000 eV/atom; final energy = -6.97 eV/atom; symmetry = Fm-3m, No. 225
1.0
6.403 0.000 3.697
2.134 6.037 3.697
0.000 0.000 7.393
Er Sc S
1 6 8
Cartesian
0.000 0.000 0.000 Er
1.067 3.018 5.545 Sc
3.201 0.000 1.848 Sc
4.269 3.018 3.697 Sc
0.000 0.000 3.697 Sc
1.067 3.018 1.848 Sc
3.201 0.000 5.545 Sc
6.403 4.528 11.090 S
2.134 1.509 3.697 S
5.305 1.553 5.599 S
3.232 4.484 9.188 S
2.196 1.553 7.393 S
6.341 4.484 7.393 S
5.305 1.553 9.188 S
3.232 4.484 5.599 S



3.
ErScS3 (PBE, optimized geometry); formation energy from raw total energies = -9.691 eV/f.u.; calculated volume = 20.3 A^3/atom; final energy = -6.59 eV/atom; symmetry = Pnma, No. 62
1.0
-1.869 3.189 0.313
-6.424 -3.504 -2.660
-3.589 -3.392 13.136
Er Sc S
4 4 12
Cartesian
-9.814 -3.338 8.387 Er
-2.068 -0.369 2.402 Er
-6.274 -1.276 8.515 Er
-5.608 -2.431 2.274 Er
-5.852 -3.521 11.923 Sc
-7.539 -3.831 5.009 Sc
-4.343 0.124 5.780 Sc
-6.030 -0.187 -1.134 Sc
-4.713 -2.320 6.490 S
-7.572 -1.271 0.704 S
-7.739 -2.343 10.643 S
-9.937 -3.137 5.602 S
-7.169 -1.387 4.300 S
-1.945 -0.570 5.187 S
-9.299 -5.370 10.186 S
-4.669 0.189 3.169 S
-7.213 -3.896 7.621 S
-4.310 -2.437 10.085 S
-2.583 1.663 0.604 S
-4.143 -1.364 0.146 S



4.
Er2Sc3S6 (PBE, optimized geometry); formation energy from raw total energies = -21.957 eV/f.u.; calculated volume = 20.4 A^3/atom; final energy = -6.80 eV/atom; symmetry = C2/m, No. 12
1.0
6.221 0.000 1.850
3.110 5.596 0.925
0.306 0.000 6.545
Er Sc S
2 3 6
Cartesian
3.263 3.740 4.197 Er
6.374 1.856 5.122 Er
0.000 0.000 0.000 Sc
3.110 1.830 0.925 Sc
6.221 3.766 1.850 Sc
4.879 3.740 6.365 S
4.859 0.000 6.332 S
1.769 1.856 5.440 S
1.668 0.000 2.062 S
4.757 1.856 2.954 S
7.868 3.740 3.879 S



5.
ErScS3 (PBE, optimized geometry); formation energy from raw total energies = -9.891 eV/f.u.; calculated volume = 21.1 A^3/atom; final energy = -6.63 eV/atom; symmetry = Pnma, No. 62
1.0
-4.645 -4.263 0.783
4.395 -5.117 -1.787
2.502 -1.045 9.144
Sc S Er
4 12 4
Cartesian
4.051 -3.333 5.883 Sc
-1.845 -7.073 2.094 Sc
-0.469 -2.906 7.168 Sc
2.675 -7.500 0.808 Sc
4.208 -4.481 8.195 S
-0.751 -6.449 4.353 S
1.063 -2.792 9.249 S
2.394 -8.138 3.299 S
4.441 -5.623 4.784 S
-2.602 -4.630 1.850 S
1.553 -3.699 5.794 S
0.286 -6.554 0.840 S
1.904 -7.231 6.754 S
0.669 -3.329 2.563 S
-0.984 -5.307 7.764 S
3.557 -5.253 1.553 S
1.751 -5.544 3.772 Er
1.706 -5.385 8.776 Er
1.479 -1.218 4.340 Er
1.978 -9.711 8.207 Er



6.
Er4Sc3S8 (PBE, optimized geometry); formation energy from raw total energies = -29.552 eV/f.u.; calculated volume = 20.5 A^3/atom; final energy = -6.65 eV/atom; symmetry = C2/m, No. 12
1.0
-4.300 -2.416 -5.781
6.906 -2.911 1.073
-1.861 -1.778 7.120
Er Sc S
4 3 8
Cartesian
-2.150 -1.208 -2.891 Er
3.453 -1.456 0.536 Er
0.000 0.000 0.000 Er
-0.931 -0.889 3.560 Er
1.303 -2.664 -2.354 Sc
-3.080 -2.097 0.669 Sc
0.373 -3.553 1.206 Sc
-0.882 -2.434 -0.823 S
4.683 -2.624 2.606 S
1.266 -1.227 2.065 S
2.530 -3.832 -0.283 S
-1.785 -3.274 2.694 S
-0.521 -5.878 0.346 S
0.361 -2.065 5.587 S
1.627 -4.671 3.234 S